# 1
Here is a relaxed Rb2Na2Te crystal from Alexandria. Energies are from PBE-GGA.

Unit cell a=9.2234 b=9.2234 c=6.7380 alpha=90.00 beta=90.00 gamma=90.00
Last column: nearest neighbours and their distance in Å.
Space group P4/mbm (No. 127)
One atom of each set of equivalent atoms:
Rb1 0.1611 0.3389 0.0000 (multiplicity 4)  2 Te 3.46
Na1 0.1387 0.6387 0.5000 (multiplicity 4)  1 Na 3.62
Te1 0.0000 0.0000 0.0000 (multiplicity 2)  4 Rb 3.46

## Properties
DFT total energy: -1.808 eV per atom
total moment: 0.00 μB per cell
relative energy among the computed polymorphs: 136 meV/atom

***

# 2
Here is a relaxed ZrAg3 crystal from Alexandria. Energies are from PBE-GGA.

Unit cell a=4.8660 b=4.8660 c=12.9731 alpha=90.00 beta=90.00 gamma=90.00
Last column: nearest neighbours and their distance in Å.
Space group I4/mmm (No. 139)
One atom of each set of equivalent atoms:
Zr1 0.0000 0.0000 0.1293 (multiplicity 4)  9 Ag 2.89-3.20
Ag1 0.0000 0.0000 0.3761 (multiplicity 4)  9 Ag 2.92-3.22, 1 Zr 3.20
Ag2 0.0000 0.5000 0.0000 (multiplicity 4)  6 Ag 2.92-3.24, 4 Zr 2.95
Ag3 0.0000 0.5000 0.2500 (multiplicity 4)  4 Zr 2.89, 4 Ag 2.93

## Properties
DFT total energy: -4.206 eV per atom
total moment: 0.02 μB per cell
DFT formation energy: 0.07 eV per atom

***

# 3
Here is a relaxed Nd3DyY3 crystal from Alexandria. Energies are from PBE-GGA.

Unit cell a=6.2681 b=6.2681 c=43.4337 alpha=90.00 beta=90.00 gamma=120.00
Last column: nearest neighbours and their distance in Å.
Space group R-3 (No. 148, hexagonal axes)
One atom of each set of equivalent atoms:
Nd1 0.0002 0.3310 0.1312 (multiplicity 18)  3 Y 3.56-3.58, 9 Nd 3.59-3.73
Dy1 0.0000 0.0000 0.3333 (multiplicity 6)  6 Y 3.50, 3 Dy 3.62
Y1 0.9997 0.3332 0.2687 (multiplicity 18)  2 Dy 3.50, 3 Nd 3.56-3.58, 6 Y 3.62

## Properties
DFT total energy: -5.305 eV per atom
total moment: 0.00 μB per cell
relative energy among the computed polymorphs: 0 meV/atom
DFT formation energy: 0.17 eV per atom

***

# 4
Here is a relaxed CrHg2 crystal from Alexandria. Energies are from PBE-GGA.

Unit cell a=3.1420 b=3.1420 c=25.7634 alpha=90.00 beta=90.00 gamma=90.00
Last column: nearest neighbours and their distance in Å.
Space group I4_1/amd (No. 141, origin choice 2)
One atom of each set of equivalent atoms:
Cr1 0.0000 0.2500 0.3750 (multiplicity 4)  8 Hg 2.93, 4 Cr 3.14
Hg1 0.0000 0.2500 0.8007 (multiplicity 8)  4 Cr 2.93, 6 Hg 3.05-3.14

## Properties
DFT total energy: -3.021 eV per atom
total moment: 16.29 μB per cell
DFT formation energy: 0.39 eV per atom

***

# 5
Here is a relaxed Y2NiBr crystal from Alexandria. Energies are from PBE-GGA.

Unit cell a=4.8148 b=4.8323 c=8.0821 alpha=90.00 beta=90.00 gamma=90.00
Last column: nearest neighbours and their distance in Å.
Space group Cmmm (No. 65)
One atom of each set of equivalent atoms:
Y1 0.0000 0.0000 0.2030 (multiplicity 4)  4 Ni 2.91-2.92
Ni1 0.0000 0.5000 0.0000 (multiplicity 2)  8 Y 2.91-2.92
Br1 0.0000 0.5000 0.5000 (multiplicity 2)  8 Y 3.40-3.41, 4 Br 3.41

## Properties
DFT total energy: -5.706 eV per atom
total moment: 0.00 μB per cell
relative energy among the computed polymorphs: 193 meV/atom

***

# 6
Here is a relaxed RbHg2Os crystal from Alexandria. Energies are from PBE-GGA.

Unit cell a=7.3150 b=7.3150 c=7.3150 alpha=90.00 beta=90.00 gamma=90.00
Last column: nearest neighbours and their distance in Å.
Space group Fm-3m (No. 225)
One atom of each set of equivalent atoms:
Rb1 0.0000 0.0000 0.0000 (multiplicity 4)  8 Hg 3.17
Hg1 0.2500 0.2500 0.2500 (multiplicity 8)  4 Os 3.17, 4 Rb 3.17
Os1 0.0000 0.0000 0.5000 (multiplicity 4)  8 Hg 3.17

## Properties
DFT total energy: -2.076 eV per atom
total moment: 2.66 μB per cell
relative energy among the computed polymorphs: 298 meV/atom
DFT formation energy: 1.12 eV per atom